# Pm2SnHg4Pb2 (PBE, optimized geometry)
data_Pm2SnHg4Pb2
_cell_length_a 6.9500
_cell_length_b 6.9500
_cell_length_c 10.8850
_cell_angle_alpha 90.00
_cell_angle_beta 90.00
_cell_angle_gamma 90.00
_space_group_name_H-M_alt 'I 4/m m m'
_space_group_IT_number 139
_space_group_name_Hall '-I 4 2'
loop_
_atom_site_label
_atom_site_fract_x
_atom_site_fract_y
_atom_site_fract_z
_atom_site_occupancy
Pm1 0.0000 0.0000 0.2203 1
Sn1 0.0000 0.0000 0.5000 1
Hg1 0.2180 0.2180 0.0000 1
Pb1 0.0000 0.5000 0.2500 1
# - total DFT energy (no corrections) (eV per atom) = -2.625
# - volume (Å³/cell) = 525.77
# - energy relative to the elements (meV per atom) = -166
# - density of states at the Fermi level (states/eV/f.u.) = 6.246